Record 1
First-principles (GGA-PBE) data for TbPrN2 after structural relaxation, as listed in Alexandria via LeMat-Bulk.

- Size of the total moment: 0.00 Bohr magnetons per cell
- Volume: 66.3 Å³/f.u.
- Raw formation energy: -1.213 eV/atom
- Final energy: -92.74 eV per cell

Lattice parameters (Å, degrees): 3.531 3.531 18.419 90.00 90.00 120.00
Atoms (fractional coordinates):
Tb 0.000 0.000 0.000
Tb 0.333 0.667 0.667
Tb 0.667 0.333 0.333
Pr 0.000 0.000 0.170
Pr 0.333 0.667 0.837
Pr 0.667 0.333 0.504
N 0.000 0.000 0.580
N 0.000 0.000 0.741
N 0.333 0.667 0.246
N 0.333 0.667 0.408
N 0.667 0.333 0.074
N 0.667 0.333 0.913



Record 2
First-principles (GGA-PBE) data for TbPr4N4 after structural relaxation, as listed in Alexandria via LeMat-Bulk.

- Size of the total moment: 0.64 Bohr magnetons per cell
- Volume: 174.2 Å³/f.u.
- Raw formation energy: -1.219 eV/atom
- Final energy: -68.02 eV per cell

Lattice parameters (Å, degrees): 6.357 6.357 9.080 118.79 118.79 33.31
Atoms (fractional coordinates):
Tb 0.000 0.000 0.000
Pr 0.206 0.206 0.813
Pr 0.395 0.395 0.619
Pr 0.605 0.605 0.381
Pr 0.794 0.794 0.187
N 0.193 0.193 0.295
N 0.401 0.401 0.091
N 0.599 0.599 0.909
N 0.807 0.807 0.705



Record 3
First-principles (GGA-PBE) data for TbPrTcN3 after structural relaxation, as listed in Alexandria via LeMat-Bulk.

- Size of the total moment: 0.00 Bohr magnetons per cell
- Volume: 99.3 Å³/f.u.
- Raw formation energy: -0.856 eV/atom
- Final energy: -99.78 eV per cell

Lattice parameters (Å, degrees): 7.422 3.430 7.890 90.00 98.58 90.00
Atoms (fractional coordinates):
Tb 0.166 0.250 0.125
Tb 0.834 0.750 0.875
Pr 0.192 0.250 0.692
Pr 0.808 0.750 0.308
Tc 0.403 0.750 0.415
Tc 0.597 0.250 0.585
N 0.145 0.750 0.914
N 0.146 0.750 0.358
N 0.467 0.750 0.673
N 0.533 0.250 0.327
N 0.854 0.250 0.642
N 0.855 0.250 0.086



Record 4
First-principles (GGA-PBE) data for Tb2PrTcN4 after structural relaxation, as listed in Alexandria via LeMat-Bulk.

- Size of the total moment: 0.00 Bohr magnetons per cell
- Volume: 120.2 Å³/f.u.
- Raw formation energy: -1.062 eV/atom
- Final energy: -132.41 eV per cell

Lattice parameters (Å, degrees): 6.155 6.155 11.679 90.00 90.00 147.08
Atoms (fractional coordinates):
Tb 0.131 0.869 0.540
Tb 0.131 0.869 0.960
Tb 0.869 0.131 0.040
Tb 0.869 0.131 0.460
Pr 0.380 0.620 0.750
Pr 0.620 0.380 0.250
Tc 0.356 0.644 0.250
Tc 0.644 0.356 0.750
N 0.064 0.936 0.750
N 0.236 0.764 0.128
N 0.236 0.764 0.372
N 0.500 0.500 0.000
N 0.500 0.500 0.500
N 0.764 0.236 0.628
N 0.764 0.236 0.872
N 0.936 0.064 0.250



Record 5
First-principles (GGA-PBE) data for TbPr2Te2N2 after structural relaxation, as listed in Alexandria via LeMat-Bulk.

- Size of the total moment: 0.00 Bohr magnetons per cell
- Volume: 164.2 Å³/f.u.
- Raw formation energy: -1.198 eV/atom
- Final energy: -91.02 eV per cell

Lattice parameters (Å, degrees): 4.463 4.463 16.491 90.00 90.00 90.00
Atoms (fractional coordinates):
Tb 0.000 0.000 0.000
Tb 0.500 0.500 0.500
Pr 0.000 0.000 0.396
Pr 0.000 0.000 0.604
Pr 0.500 0.500 0.104
Pr 0.500 0.500 0.896
Te 0.000 0.000 0.186
Te 0.000 0.000 0.814
Te 0.500 0.500 0.314
Te 0.500 0.500 0.686
N 0.000 0.500 0.000
N 0.000 0.500 0.500
N 0.500 0.000 0.000
N 0.500 0.000 0.500



Record 6
First-principles (GGA-PBE) data for TbPr3Th2N6 after structural relaxation, as listed in Alexandria via LeMat-Bulk.

- Size of the total moment: 0.00 Bohr magnetons per cell
- Volume: 206.5 Å³/f.u.
- Raw formation energy: -1.499 eV/atom
- Final energy: -101.75 eV per cell

Lattice parameters (Å, degrees): 6.319 6.319 6.330 99.55 99.55 120.00
Atoms (fractional coordinates):
Tb 0.000 0.000 0.000
Pr 0.165 0.835 0.500
Pr 0.500 0.500 0.500
Pr 0.835 0.165 0.500
Th 0.333 0.667 0.000
Th 0.667 0.333 0.000
N 0.077 0.412 0.232
N 0.256 0.256 0.766
N 0.412 0.077 0.232
N 0.588 0.923 0.768
N 0.744 0.744 0.234
N 0.923 0.588 0.768



Record 7
First-principles (GGA-PBE) data for TbPrThN3 after structural relaxation, as listed in Alexandria via LeMat-Bulk.

- Size of the total moment: 0.00 Bohr magnetons per cell
- Volume: 101.5 Å³/f.u.
- Raw formation energy: -1.402 eV/atom
- Final energy: -100.44 eV per cell

Lattice parameters (Å, degrees): 6.189 3.607 9.283 90.00 101.71 90.00
Atoms (fractional coordinates):
Tb 0.147 0.250 0.135
Tb 0.853 0.750 0.865
Pr 0.345 0.250 0.808
Pr 0.655 0.750 0.192
Th 0.234 0.750 0.452
Th 0.766 0.250 0.548
N 0.040 0.750 0.652
N 0.242 0.750 0.003
N 0.453 0.250 0.340
N 0.547 0.750 0.660
N 0.758 0.250 0.997
N 0.960 0.250 0.348



Record 8
First-principles (GGA-PBE) data for TbPr4Th3N8 after structural relaxation, as listed in Alexandria via LeMat-Bulk.

- Size of the total moment: 0.00 Bohr magnetons per cell
- Volume: 276.9 Å³/f.u.
- Raw formation energy: -1.499 eV/atom
- Final energy: -136.59 eV per cell

Lattice parameters (Å, degrees): 7.320 7.320 7.320 59.93 59.93 59.93
Atoms (fractional coordinates):
Tb 0.000 0.000 0.000
Pr 0.000 0.000 0.500
Pr 0.000 0.500 0.000
Pr 0.500 0.000 0.000
Pr 0.500 0.500 0.500
Th 0.000 0.500 0.500
Th 0.500 0.000 0.500
Th 0.500 0.500 0.000
N 0.245 0.245 0.743
N 0.245 0.743 0.245
N 0.256 0.256 0.256
N 0.257 0.755 0.755
N 0.743 0.245 0.245
N 0.744 0.744 0.744
N 0.755 0.257 0.755
N 0.755 0.755 0.257



Record 9
First-principles (GGA-PBE) data for TbPr2UN4 after structural relaxation, as listed in Alexandria via LeMat-Bulk.

- Size of the total moment: 0.00 Bohr magnetons per cell
- Volume: 127.4 Å³/f.u.
- Raw formation energy: -1.462 eV/atom
- Final energy: -70.47 eV per cell

Lattice parameters (Å, degrees): 6.082 3.560 6.219 90.00 108.90 90.00
Atoms (fractional coordinates):
Tb 0.000 0.000 0.000
Pr 0.000 0.500 0.500
Pr 0.500 0.000 0.500
U 0.500 0.500 0.000
N 0.265 0.500 0.212
N 0.280 0.000 0.792
N 0.720 0.000 0.208
N 0.735 0.500 0.788



Record 10
First-principles (GGA-PBE) data for Tb2PrUN4 after structural relaxation, as listed in Alexandria via LeMat-Bulk.

- Size of the total moment: 2.51 Bohr magnetons per cell
- Volume: 124.0 Å³/f.u.
- Raw formation energy: -1.478 eV/atom
- Final energy: -140.91 eV per cell

Lattice parameters (Å, degrees): 4.986 4.986 9.975 90.00 90.00 90.00
Atoms (fractional coordinates):
Tb 0.000 0.000 0.000
Tb 0.000 0.500 0.250
Tb 0.500 0.000 0.750
Tb 0.500 0.500 0.500
Pr 0.000 0.500 0.750
Pr 0.500 0.000 0.250
U 0.000 0.000 0.500
U 0.500 0.500 0.000
N 0.000 0.000 0.276
N 0.000 0.000 0.724
N 0.000 0.500 0.007
N 0.000 0.500 0.493
N 0.500 0.000 0.507
N 0.500 0.000 0.993
N 0.500 0.500 0.224
N 0.500 0.500 0.776



Record 11
First-principles (GGA-PBE) data for TbPrYN3 after structural relaxation, as listed in Alexandria via LeMat-Bulk.

- Size of the total moment: 0.00 Bohr magnetons per cell
- Volume: 96.8 Å³/f.u.
- Raw formation energy: -1.359 eV/atom
- Final energy: -98.01 eV per cell

Lattice parameters (Å, degrees): 6.090 3.539 9.178 90.00 101.72 90.00
Atoms (fractional coordinates):
Tb 0.151 0.250 0.140
Tb 0.849 0.750 0.860
Pr 0.342 0.250 0.800
Pr 0.658 0.750 0.200
Y 0.231 0.750 0.456
Y 0.769 0.250 0.544
N 0.035 0.750 0.653
N 0.246 0.750 0.008
N 0.460 0.250 0.334
N 0.540 0.750 0.666
N 0.754 0.250 0.992
N 0.965 0.250 0.347



Record 12
First-principles (GGA-PBE) data for TbPrZrN3 after structural relaxation, as listed in Alexandria via LeMat-Bulk.

- Size of the total moment: 0.66 Bohr magnetons per cell
- Volume: 105.5 Å³/f.u.
- Raw formation energy: -1.292 eV/atom
- Final energy: -101.38 eV per cell

Lattice parameters (Å, degrees): 6.517 3.341 9.712 90.00 93.59 90.00
Atoms (fractional coordinates):
Tb 0.205 0.250 0.074
Tb 0.795 0.750 0.926
Pr 0.160 0.250 0.715
Pr 0.840 0.750 0.285
Zr 0.349 0.750 0.394
Zr 0.651 0.250 0.606
N 0.145 0.250 0.333
N 0.153 0.750 0.920
N 0.397 0.750 0.608
N 0.603 0.250 0.392
N 0.847 0.250 0.080
N 0.855 0.750 0.667